(1)
ErTh2Ga2 | PBE | optimized geometry

Energy of formation from the pure elements, eV per atom: -0.471
Electronic total energy, eV per atom: -5.56
Magnetic moment, μB/cell: 0.000

Cell lengths 7.7647, 7.7647, 4.4038 Å; angles 90.00, 90.00, 90.00 degrees
Closest atoms and distances in Å follow each position.
Space group P4/mbm (No. 127)
One atom of each set of equivalent atoms:
Er: 0.0000 0.0000 0.0000  4 Ga 3.09
Th: 0.1739 0.3261 0.5000  6 Ga 3.14-3.21
Ga: 0.1217 0.6217 0.0000  1 Ga 2.67

(2)
CrCo2 | PBE | optimized geometry

Energy of formation from the pure elements, eV per atom: 0.086
Electronic total energy, eV per atom: -7.86
Magnetic moment, μB/cell: 2.544

Cell lengths 2.4658, 2.4658, 10.6552 Å; angles 90.00, 90.00, 90.00 degrees
Closest atoms and distances in Å follow each position.
Space group I4/mmm (No. 139)
One atom of each set of equivalent atoms:
Cr: 0.0000 0.0000 0.0000  4 Cr 2.47, 8 Co 2.50
Co: 0.0000 0.0000 0.3325  8 Co 2.47-2.48, 4 Cr 2.50

(3)
PrScNbN3 | PBE | optimized geometry

Electronic total energy, eV per atom: -9.03
Magnetic moment, μB/cell: 0.000
Formation energy without anion corrections, kJ/mol of formula units: -776

Cell lengths 5.7754, 3.3556, 8.5156 Å; angles 90.00, 103.91, 90.00 degrees
Closest atoms and distances in Å follow each position.
Space group P2_1/m (No. 11)
One atom of each set of equivalent atoms:
Pr: 0.1565 0.2500 0.1925  7 N 2.52-2.63
Sc: 0.2721 0.7500 0.5419  6 N 2.23-2.45
Nb: 0.3614 0.2500 0.8539  5 N 2.07-2.28
N: 0.0612 0.2500 0.6638  1 Nb 2.07, 1 Sc 2.27
N: 0.2632 0.7500 0.9830  3 Nb 2.15-2.28
N: 0.4686 0.7500 0.3458  1 Nb 2.16, 3 Sc 2.23-2.30

(4)
SmErMgPb | PBE | optimized geometry

Energy of formation from the pure elements, eV per atom: -0.277
Electronic total energy, eV per atom: -3.92
Magnetic moment, μB/cell: 0.000

Cell lengths 7.6221, 7.6221, 7.6221 Å; angles 90.00, 90.00, 90.00 degrees
Closest atoms and distances in Å follow each position.
Space group F-43m (No. 216)
One atom of each set of equivalent atoms:
Sm: 0.0000 0.0000 0.0000  4 Pb 3.30, 4 Mg 3.30
Er: 0.0000 0.0000 0.5000  4 Pb 3.30, 4 Mg 3.30
Mg: 0.2500 0.2500 0.2500  4 Er 3.30, 4 Sm 3.30
Pb: 0.2500 0.2500 0.7500  4 Er 3.30, 4 Sm 3.30

(5)
TbMg3Hg2 | PBE | optimized geometry

Energy of formation from the pure elements, eV per atom: -0.294
Electronic total energy, eV per atom: -1.96
ΔE to the lowest computed polymorph, meV per atom: 0.0
Magnetic moment, μB/cell: 0.000

Cell lengths 4.2770, 8.7052, 7.6597 Å; angles 90.00, 90.00, 90.00 degrees
Closest atoms and distances in Å follow each position.
Space group Pmc2_1 (No. 26)
One atom of each set of equivalent atoms:
Tb: 0.0000 0.0810 0.0000  5 Hg 3.10-3.21, 4 Mg 3.45-3.47
Mg: 0.0000 0.3140 0.6071  4 Hg 2.77-2.95
Mg: 0.5000 0.1936 0.3330  4 Hg 2.83-2.96
Mg: 0.5000 0.4128 0.9365  5 Hg 3.06-3.17, 2 Mg 3.42
Hg: 0.0000 0.3876 0.2317  4 Mg 2.77-2.95
Hg: 0.5000 0.1223 0.7104  5 Mg 2.83-3.06, 2 Tb 3.10

(6)
ReTePtI2 | PBE | optimized geometry

Electronic total energy, eV per atom: -3.62
ΔE to the lowest computed polymorph, meV per atom: 57.7
Magnetic moment, μB/cell: 4.914
Formation energy without anion corrections, kJ/mol of formula units: 638

Cell lengths 5.4556, 5.4556, 5.3707 Å; angles 90.00, 90.00, 90.00 degrees
Closest atoms and distances in Å follow each position.
Space group P4/mmm (No. 123)
One atom of each set of equivalent atoms:
Re: 0.0000 0.0000 0.0000  8 I 3.83, 4 Te 3.86
Te: 0.5000 0.5000 0.0000  2 Pt 2.69
Pt: 0.5000 0.5000 0.5000  2 Te 2.69, 4 I 2.73
I: 0.0000 0.5000 0.5000  2 Pt 2.73

(7)
CrMoRh2 | PBE | optimized geometry

Energy of formation from the pure elements, eV per atom: 0.079
Electronic total energy, eV per atom: -8.71
ΔE to the lowest computed polymorph, meV per atom: 191.0
Magnetic moment, μB/cell: 0.000

Cell lengths 3.1391, 3.1391, 5.7828 Å; angles 90.00, 90.00, 90.00 degrees
Closest atoms and distances in Å follow each position.
Space group P4mm (No. 99)
One atom of each set of equivalent atoms:
Cr: 0.0000 0.0000 0.0000  4 Rh 2.48, 4 Mo 2.68
Mo: 0.5000 0.5000 0.2608  5 Rh 2.62-2.66, 4 Cr 2.68
Rh: 0.0000 0.0000 0.5132  4 Mo 2.66, 4 Rh 2.80, 2 Cr 2.82-2.97
Rh: 0.5000 0.5000 0.8071  4 Cr 2.48, 1 Mo 2.62

(8)
HgMoBr2 | PBE | optimized geometry

Electronic total energy, eV per atom: -3.35
ΔE to the lowest computed polymorph, meV per atom: 307.1
Magnetic moment, μB/cell: 8.000
Formation energy without anion corrections, kJ/mol of formula units: 105

Cell lengths 3.7021, 7.3390, 9.4292 Å; angles 90.00, 90.00, 90.00 degrees
Closest atoms and distances in Å follow each position.
Space group Imm2 (No. 44)
One atom of each set of equivalent atoms:
Hg: 0.0000 0.0000 0.0000  2 Br 2.82, 2 Mo 2.86
Mo: 0.0000 0.5000 0.7310  2 Br 2.58, 2 Hg 2.86
Br: 0.0000 0.0000 0.4213  2 Mo 2.58
Br: 0.0000 0.5000 0.2740  2 Hg 2.82

(9)
AsPt2Au | PBE | optimized geometry

Energy of formation from the pure elements, eV per atom: -0.040
Electronic total energy, eV per atom: -5.04
Magnetic moment, μB/cell: 0.000

Cell lengths 2.8224, 4.8890, 5.0273 Å; angles 90.00, 90.00, 90.00 degrees
Closest atoms and distances in Å follow each position.
Space group Pmm2 (No. 25)
One atom of each set of equivalent atoms:
As: 0.0000 0.0000 0.0000  4 Pt 2.50-2.53
Pt: 0.0000 0.0000 0.5029  2 As 2.50-2.53
Pt: 0.0000 0.5000 0.1245  2 As 2.52, 2 Pt 2.82
Au: 0.5000 0.5000 0.6159  2 Au 2.82, 8 Pt 2.84-2.92

(10)
CuSBr3 | PBE | optimized geometry

Electronic total energy, eV per atom: -2.12
ΔE to the lowest computed polymorph, meV per atom: 26.5
Magnetic moment, μB/cell: 0.000
Formation energy without anion corrections, kJ/mol of formula units: 253

Cell lengths 4.9549, 4.9549, 4.9549 Å; angles 90.00, 90.00, 90.00 degrees
Closest atoms and distances in Å follow each position.
Space group Pm-3m (No. 221)
One atom of each set of equivalent atoms:
Cu: 0.0000 0.0000 0.0000  6 Br 2.48
S: 0.5000 0.5000 0.5000  12 Br 3.50
Br: 0.0000 0.0000 0.5000  2 Cu 2.48

(11)
Y8HoTm5 | PBE | optimized geometry

Energy of formation from the pure elements, eV per atom: 0.255
Electronic total energy, eV per atom: -5.36
Magnetic moment, μB/cell: 0.000

Cell lengths 9.5247, 9.5247, 10.0694 Å; angles 90.00, 90.00, 90.00 degrees
Closest atoms and distances in Å follow each position.
Space group I-4 (No. 82)
One atom of each set of equivalent atoms:
Y: 0.0707 0.3227 0.0951  5 Tm 3.29-3.52, 3 Y 3.58-3.64
Y: 0.0871 0.1735 0.7527  4 Tm 3.10-3.45, 1 Ho 3.22
Ho: 0.0000 0.5000 0.7500  4 Y 3.22
Tm: 0.0000 0.0000 0.0000  8 Y 3.10-3.29
Tm: 0.1098 0.2102 0.4257  8 Y 3.32-3.55, 2 Tm 3.53

(12)
Np3MnS8 | PBE | optimized geometry

Electronic total energy, eV per atom: -7.76
Magnetic moment, μB/cell: 24.000
Formation energy without anion corrections, kJ/mol of formula units: -1173

Cell lengths 7.4549, 11.4931, 7.3600 Å; angles 90.00, 90.00, 90.00 degrees
Closest atoms and distances in Å follow each position.
Space group C222 (No. 21)
One atom of each set of equivalent atoms:
Np: 0.0000 0.0000 0.0000  6 S 2.63-2.64
Np: 0.2500 0.2500 0.7407  6 S 2.60-2.68
Mn: 0.0000 0.0000 0.5000  6 S 2.46-2.51
S: 0.0000 0.2188 0.5000  1 Mn 2.51, 2 Np 2.60
S: 0.0000 0.2294 0.0000  3 Np 2.64-2.68
S: 0.2335 0.0197 0.7346  1 Mn 2.46, 2 Np 2.63-2.65

(13)
Pm2Tm6Al | PBE | optimized geometry

Energy of formation from the pure elements, eV per atom: 0.070
Electronic total energy, eV per atom: -4.38
Magnetic moment, μB/cell: 0.000

Cell lengths 17.2667, 9.2512, 3.4621 Å; angles 90.00, 90.12, 90.00 degrees
Closest atoms and distances in Å follow each position.
Space group C2/m (No. 12)
One atom of each set of equivalent atoms:
Pm: 0.1796 0.0000 0.4982  2 Pm 3.46, 10 Tm 3.50-3.68
Tm: 0.0000 0.2136 0.5000  2 Al 3.16, 6 Tm 3.43-3.46
Tm: 0.1606 0.3271 0.9991  6 Tm 3.20-3.46, 1 Al 3.20, 2 Pm 3.50
Al: 0.0000 0.5000 0.0000  8 Tm 3.16-3.20, 2 Al 3.46

(14)
BaBeIr2Pb | PBE | optimized geometry

Energy of formation from the pure elements, eV per atom: 2.557
Electronic total energy, eV per atom: -2.86
Magnetic moment, μB/cell: 0.000

Cell lengths 5.1510, 5.1510, 5.7548 Å; angles 90.00, 90.00, 90.00 degrees
Closest atoms and distances in Å follow each position.
Space group P4/mmm (No. 123)
One atom of each set of equivalent atoms:
Ba: 0.0000 0.0000 0.0000  4 Ir 2.58, 2 Pb 2.88
Be: 0.5000 0.5000 0.5000  4 Pb 3.64, 8 Ir 3.86
Ir: 0.0000 0.5000 0.0000  2 Ba 2.58
Pb: 0.0000 0.0000 0.5000  2 Ba 2.88

(15)
Si2TcSe | PBE | optimized geometry

Electronic total energy, eV per atom: -5.80
Magnetic moment, μB/cell: 0.000
Formation energy without anion corrections, kJ/mol of formula units: 145

Cell lengths 5.1804, 8.5189, 3.5426 Å; angles 90.00, 125.14, 90.00 degrees
Closest atoms and distances in Å follow each position.
Space group C2/m (No. 12)
One atom of each set of equivalent atoms:
Si: 0.2500 0.2500 0.0000  2 Si 2.59, 2 Se 2.59, 2 Tc 2.59
Tc: 0.0000 0.0000 0.5000  2 Se 2.59, 4 Si 2.59
Se: 0.0000 0.5000 0.5000  2 Tc 2.59, 4 Si 2.59

(16)
CrAs2Pt | PBE | optimized geometry

Energy of formation from the pure elements, eV per atom: 0.084
Electronic total energy, eV per atom: -6.16
ΔE to the lowest computed polymorph, meV per atom: 163.5
Magnetic moment, μB/cell: 0.534

Cell lengths 3.1290, 3.1290, 6.1340 Å; angles 90.00, 90.00, 90.00 degrees
Closest atoms and distances in Å follow each position.
Space group P4/mmm (No. 123)
One atom of each set of equivalent atoms:
Cr: 0.0000 0.0000 0.0000  8 As 2.61
As: 0.5000 0.5000 0.2252  4 Cr 2.61, 1 As 2.76, 4 Pt 2.78
Pt: 0.0000 0.0000 0.5000  8 As 2.78, 2 Cr 3.07

(17)
InTc5 | PBE | optimized geometry

Energy of formation from the pure elements, eV per atom: 0.142
Electronic total energy, eV per atom: -8.95
ΔE to the lowest computed polymorph, meV per atom: 0.0
Magnetic moment, μB/cell: 0.000

Cell lengths 10.2011, 2.8707, 6.5625 Å; angles 90.00, 105.23, 90.00 degrees
Closest atoms and distances in Å follow each position.
Space group Cm (No. 8)
One atom of each set of equivalent atoms:
In: 0.0000 0.0000 0.0000  10 Tc 2.79-2.89, 2 In 2.87
Tc: 0.0467 0.0000 0.5871  11 Tc 2.66-2.87, 1 In 2.87
Tc: 0.1659 0.5000 0.3448  8 Tc 2.65-2.87, 2 In 2.83
Tc: 0.2175 0.5000 0.9160  8 Tc 2.67-2.87, 3 In 2.79-2.82
Tc: 0.3230 0.0000 0.6539  10 Tc 2.65-2.87, 2 In 2.89
Tc: 0.3655 0.0000 0.2663  9 Tc 2.65-2.87, 2 In 2.87

(18)
V2CrCdBr | PBE | optimized geometry

Electronic total energy, eV per atom: -4.33
Magnetic moment, μB/cell: 12.703
Formation energy without anion corrections, kJ/mol of formula units: 848

Cell lengths 5.2083, 5.2083, 5.6652 Å; angles 90.00, 90.00, 90.00 degrees
Closest atoms and distances in Å follow each position.
Space group P4/mmm (No. 123)
One atom of each set of equivalent atoms:
V: 0.0000 0.5000 0.0000  2 Cd 2.60
Cr: 0.0000 0.0000 0.5000  4 Br 3.68, 8 V 3.85
Cd: 0.5000 0.5000 0.0000  4 V 2.60, 2 Br 2.83
Br: 0.5000 0.5000 0.5000  2 Cd 2.83

(19)
Tl2ReAg | PBE | optimized geometry

Energy of formation from the pure elements, eV per atom: 0.738
Electronic total energy, eV per atom: -4.27
ΔE to the lowest computed polymorph, meV per atom: 0.0
Magnetic moment, μB/cell: 0.000

Cell lengths 13.8329, 2.9327, 4.7630 Å; angles 90.00, 110.07, 90.00 degrees
Closest atoms and distances in Å follow each position.
Space group Cm (No. 8)
One atom of each set of equivalent atoms:
Tl: 0.0000 0.0000 0.0000  2 Re 2.93, 2 Tl 2.93, 4 Ag 3.17-3.18
Tl: 0.2106 0.0000 0.7113  4 Re 2.80, 2 Tl 2.93
Re: 0.1950 0.5000 0.1958  6 Tl 2.80-2.93, 2 Ag 2.87, 2 Re 2.93
Ag: 0.3847 0.0000 0.3859  2 Re 2.87, 2 Ag 2.93, 4 Tl 3.17-3.18

(20)
Sr2HPdPt | PBE | optimized geometry

Electronic total energy, eV per atom: -4.22
ΔE to the lowest computed polymorph, meV per atom: 0.0
Magnetic moment, μB/cell: 0.000

Cell lengths 5.2579, 5.2579, 3.7474 Å; angles 90.00, 90.00, 90.00 degrees
Closest atoms and distances in Å follow each position.
Space group P4/mmm (No. 123)
One atom of each set of equivalent atoms:
Sr: 0.0000 0.5000 0.0000  2 H 2.63
H: 0.0000 0.0000 0.0000  2 Pd 1.87
Pd: 0.0000 0.0000 0.5000  2 H 1.87
Pt: 0.5000 0.5000 0.5000  8 Sr 3.23

(21)
SrPb2Br | PBE | optimized geometry

Electronic total energy, eV per atom: -2.87
ΔE to the lowest computed polymorph, meV per atom: 586.5
Magnetic moment, μB/cell: 0.000
Formation energy without anion corrections, kJ/mol of formula units: -69

Cell lengths 8.1224, 8.1224, 8.1224 Å; angles 90.00, 90.00, 90.00 degrees
Closest atoms and distances in Å follow each position.
Space group Fm-3m (No. 225)
One atom of each set of equivalent atoms:
Sr: 0.0000 0.0000 0.0000  8 Pb 3.52
Pb: 0.2500 0.2500 0.2500  4 Br 3.52, 4 Sr 3.52
Br: 0.0000 0.0000 0.5000  8 Pb 3.52

(22)
DyUSe3 | PBE | optimized geometry

Electronic total energy, eV per atom: -6.76
ΔE to the lowest computed polymorph, meV per atom: 0.0
Magnetic moment, μB/cell: 11.400
Formation energy without anion corrections, kJ/mol of formula units: -722

Cell lengths 7.6723, 4.0680, 15.7593 Å; angles 90.00, 90.00, 90.00 degrees
Closest atoms and distances in Å follow each position.
Space group Pnma (No. 62)
One atom of each set of equivalent atoms:
Dy: 0.2364 0.2500 0.0429  7 Se 2.88-3.02
U: 0.1344 0.7500 0.2927  7 Se 2.87-3.07
Se: 0.0064 0.7500 0.1080  3 Dy 2.88-3.02, 1 U 3.07
Se: 0.1225 0.2500 0.4322  3 Dy 2.89-2.99, 2 U 3.00, 1 Se 3.18
Se: 0.1481 0.7500 0.7206  4 U 2.87-2.98, 1 Dy 2.94, 1 Se 3.18

(23)
Li23MgZn6 | PBE | optimized geometry

Energy of formation from the pure elements, eV per atom: -0.047
Electronic total energy, eV per atom: -1.82
Magnetic moment, μB/cell: 0.002

Cell lengths 12.8180, 12.8180, 12.8180 Å; angles 90.00, 90.00, 90.00 degrees
Closest atoms and distances in Å follow each position.
Space group Fm-3m (No. 225)
One atom of each set of equivalent atoms:
Li: 0.0000 0.0000 0.0000  8 Li 2.76
Li: 0.0000 0.2500 0.2500  8 Li 2.74-2.78
Li: 0.1241 0.1241 0.1241  4 Li 2.76-2.78, 3 Zn 2.81
Li: 0.1295 0.1295 0.3705  3 Li 2.74, 3 Zn 2.77, 1 Mg 2.87
Mg: 0.0000 0.0000 0.5000  8 Li 2.87, 6 Zn 3.14
Zn: 0.0000 0.0000 0.2552  8 Li 2.77-2.81

(24)
TlNiW2 | PBE | optimized geometry

Energy of formation from the pure elements, eV per atom: 0.667
Electronic total energy, eV per atom: -7.85
ΔE to the lowest computed polymorph, meV per atom: 176.3
Magnetic moment, μB/cell: 0.000

Cell lengths 2.8587, 2.8587, 7.9952 Å; angles 90.00, 90.00, 90.00 degrees
Closest atoms and distances in Å follow each position.
Space group P4/mmm (No. 123)
One atom of each set of equivalent atoms:
Tl: 0.0000 0.0000 0.0000  4 Tl 2.86, 8 W 3.08
Ni: 0.0000 0.0000 0.5000  8 W 2.62, 4 Ni 2.86
W: 0.5000 0.5000 0.2911  4 Ni 2.62, 4 W 2.86

(25)
SmHoMnHg | PBE | optimized geometry

Energy of formation from the pure elements, eV per atom: -0.070
Electronic total energy, eV per atom: -4.76
Magnetic moment, μB/cell: 12.169

Cell lengths 7.3365, 7.3365, 7.3365 Å; angles 90.00, 90.00, 90.00 degrees
Closest atoms and distances in Å follow each position.
Space group F-43m (No. 216)
One atom of each set of equivalent atoms:
Sm: 0.0000 0.0000 0.0000  4 Hg 3.18, 4 Mn 3.18
Ho: 0.0000 0.0000 0.5000  4 Hg 3.18, 4 Mn 3.18
Mn: 0.2500 0.2500 0.2500  4 Ho 3.18, 4 Sm 3.18
Hg: 0.2500 0.2500 0.7500  4 Ho 3.18, 4 Sm 3.18